Below is NbB2W after structural relaxation, with properties calculated at the PBE-GGA level.

Geometry as POSCAR:
```
NbB2W
1.0
1.6045 0.9264 5.2572
-1.6045 0.9264 5.2572
0.0000 -1.8527 5.2572
Nb B W
1 2 1
Cartesian
0.0000 0.0000 0.0000
0.0000 0.0000 3.8968
0.0000 0.0000 11.8747
0.0000 0.0000 7.8858
```

N(E_F): 0.9 states/eV per cell
Electronic total energy: -9.517 eV/atom